(1)
A relaxed EuHoP2 crystal, computed with PBE.

* energy of formation: -1325 meV/atom
* ρ: 6.57 g cm⁻³
* DOS at the Fermi energy: 8.8 states/eV/f.u.
* SG: R-3m
* total magnetic moment: 6.3 μB/f.u.

Unit cell a=7.084 b=7.084 c=7.084 alpha=33.37 beta=33.37 gamma=33.37
Positions (direct):
Eu1 0.000 0.000 0.000
Ho1 0.500 0.500 0.500
P1 0.246 0.246 0.246
P2 0.754 0.754 0.754

(2)
A relaxed YZr2NbAl crystal, computed with PBE.

* energy of formation: 601 meV/atom
* energy above the most stable polymorph in this dataset: 0 meV/atom
* ρ: 5.06 g cm⁻³
* DOS at the Fermi energy: 9.0 states/eV/f.u.
* SG: P4/mmm
* total magnetic moment: 0.0 μB/f.u.

Unit cell a=5.115 b=5.115 c=4.905 alpha=90.00 beta=90.00 gamma=90.00
Positions (direct):
Y1 0.000 0.000 0.000
Zr1 0.000 0.500 0.500
Zr2 0.500 0.000 0.500
Nb1 0.500 0.500 0.000
Al1 0.500 0.500 0.500

(3)
A relaxed Tb2PrWN4 crystal, computed with PBE.

* ρ: 9.32 g cm⁻³
* DOS at the Fermi energy: 2.4 states/eV/f.u.
* SG: Cmcm
* total magnetic moment: 0.0 μB/f.u.
* uncorrected formation energy: -1.09 eV/atom

Unit cell a=6.235 b=6.235 c=12.041 alpha=90.00 beta=90.00 gamma=147.88
Positions (direct):
Tb1 0.130 0.870 0.538
Tb2 0.130 0.870 0.962
Tb3 0.870 0.130 0.038
Tb4 0.870 0.130 0.462
Pr1 0.412 0.588 0.750
Pr2 0.588 0.412 0.250
W1 0.331 0.669 0.250
W2 0.669 0.331 0.750
N1 0.072 0.928 0.750
N2 0.237 0.763 0.122
N3 0.237 0.763 0.378
N4 0.500 0.500 0.000
N5 0.500 0.500 0.500
N6 0.763 0.237 0.622
N7 0.763 0.237 0.878
N8 0.928 0.072 0.250

(4)
A relaxed TbPm3Er4 crystal, computed with PBE.

* energy of formation: 199 meV/atom
* energy above the most stable polymorph in this dataset: 179 meV/atom
* ρ: 7.92 g cm⁻³
* DOS at the Fermi energy: 12.2 states/eV/f.u.
* SG: P-1
* total magnetic moment: 0.0 μB/f.u.

Unit cell a=3.598 b=5.393 c=14.017 alpha=100.92 beta=97.32 gamma=90.03
Positions (direct):
Tb1 0.000 0.000 0.000
Pm1 0.350 0.848 0.699
Pm2 0.500 0.500 0.000
Pm3 0.650 0.152 0.301
Er1 0.100 0.603 0.201
Er2 0.219 0.720 0.439
Er3 0.781 0.280 0.561
Er4 0.900 0.397 0.799